This record from the Alexandria database describes a relaxed structure of PaCdCo2O6. The functional is PBE+U.

Geometry as POSCAR:
```
PaCdCo2O6
1.0
-2.742 -0.066 -4.714
1.407 -3.516 -3.925
-3.775 -4.745 -0.893
Pa O Co Cd
1 6 2 1
direct
0.000 0.000 0.000
0.407 0.808 0.721
0.192 0.936 0.279
0.936 0.593 0.279
0.808 0.064 0.721
0.593 0.192 0.279
0.064 0.407 0.721
0.188 0.188 0.436
0.812 0.812 0.564
0.500 0.500 0.500
```

Values from the calculation:
Symmetry ... R-3
Calculated density ... 6832 kg/m3
Raw total energy ... -6.80 eV/atom